# 1
# BeFe2Cu

Crystalline BeFe2Cu at its relaxed geometry (GGA-PBEsol, the Alexandria database).

The value obtained for the magnetization is 4.31 μB per formula unit. As for the density of states at the Fermi level: 0.707 states/eV/atom. The total energy comes out at -6.562 eV per atom. The crystal system is tetragonal.

It has space group P4/mmm (No. 123), with a = 2.449 Å, b = 2.449 Å, c = 6.743 Å, α = 90.00°, β = 90.00° and γ = 90.00°. The distinct sites, in fractional coordinates, are Be at (0.000, 0.000, 0.000), Fe at (0.500, 0.500, 0.223) and Cu at (0.000, 0.000, 0.500).


# 2
# BeFe2Cu

Crystalline BeFe2Cu at its relaxed geometry (GGA-PBEsol, the Alexandria database).

The value obtained for the magnetization is 4.12 μB per formula unit. As for the density of states at the Fermi level: 0.692 states/eV/atom. The total energy comes out at -6.491 eV per atom. The crystal system is tetragonal.

It has space group I-4m2 (No. 119), with a = 3.507 Å, b = 3.507 Å, c = 6.674 Å, α = 90.00°, β = 90.00° and γ = 90.00°. The distinct sites, in fractional coordinates, are Be at (0.000, 0.000, 0.000), Fe at (0.000, 0.000, 0.500), Fe at (0.000, 0.500, 0.750) and Cu at (0.000, 0.500, 0.250).


# 3
# BeFe2Cu

Crystalline BeFe2Cu at its relaxed geometry (GGA-PBEsol, the Alexandria database).

The value obtained for the magnetization is 0.54 μB per formula unit. As for the density of states at the Fermi level: 0.678 states/eV/atom. The total energy comes out at -6.594 eV per atom. The crystal system is tetragonal.

It has space group P4mm (No. 99), with a = 2.507 Å, b = 2.507 Å, c = 6.180 Å, α = 90.00°, β = 90.00° and γ = 90.00°. The distinct sites, in fractional coordinates, are Be at (0.000, 0.000, 0.000), Fe at (0.000, 0.000, 0.528), Fe at (0.500, 0.500, 0.772) and Cu at (0.500, 0.500, 0.232).


# 4
# TiBe2FeCu

Crystalline TiBe2FeCu at its relaxed geometry (GGA-PBEsol, the Alexandria database).

The value obtained for the magnetization is 0.89 μB per formula unit. As for the density of states at the Fermi level: 0.702 states/eV/atom. The total energy comes out at -4.390 eV per atom. The crystal system is tetragonal.

It has space group P4/mmm (No. 123), with a = 4.336 Å, b = 4.336 Å, c = 3.969 Å, α = 90.00°, β = 90.00° and γ = 90.00°. The distinct sites, in fractional coordinates, are Ti at (0.000, 0.000, 0.000), Be at (0.000, 0.500, 0.000), Fe at (0.000, 0.000, 0.500) and Cu at (0.500, 0.500, 0.500).


# 5
# SrBe2GaCu

Crystalline SrBe2GaCu at its relaxed geometry (GGA-PBEsol, the Alexandria database).

The value obtained for the magnetization is 0.00 μB per formula unit. As for the density of states at the Fermi level: 0.880 states/eV/atom. The total energy comes out at -1.579 eV per atom. The crystal system is tetragonal.

It has space group P4/mmm (No. 123), with a = 5.394 Å, b = 5.394 Å, c = 5.207 Å, α = 90.00°, β = 90.00° and γ = 90.00°. The distinct sites, in fractional coordinates, are Sr at (0.000, 0.000, 0.000), Be at (0.000, 0.500, 0.000), Ga at (0.500, 0.500, 0.500) and Cu at (0.000, 0.000, 0.500).


# 6
# Be4CuGe

Crystalline Be4CuGe at its relaxed geometry (GGA-PBEsol, the Alexandria database).

The value obtained for the magnetization is 0.00 μB per formula unit. As for the density of states at the Fermi level: 0.151 states/eV/atom. The total energy comes out at -4.064 eV per atom. The crystal system is cubic.

It has space group F-43m (No. 216), with a = 6.200 Å, b = 6.200 Å, c = 6.200 Å, α = 90.00°, β = 90.00° and γ = 90.00°. The distinct sites, in fractional coordinates, are Be at (0.124, 0.124, 0.124), Cu at (0.250, 0.250, 0.750) and Ge at (0.000, 0.000, 0.500).


# 7
# BeCuGe3

Crystalline BeCuGe3 at its relaxed geometry (GGA-PBEsol, the Alexandria database).

The value obtained for the magnetization is 0.00 μB per formula unit. As for the density of states at the Fermi level: 0.407 states/eV/atom. The total energy comes out at -4.002 eV per atom. The crystal system is cubic.

It has space group Pm-3m (No. 221), with a = 4.389 Å, b = 4.389 Å, c = 4.389 Å, α = 90.00°, β = 90.00° and γ = 90.00°. The distinct sites, in fractional coordinates, are Be at (0.000, 0.000, 0.000), Cu at (0.500, 0.500, 0.500) and Ge at (0.000, 0.000, 0.500).


# 8
# BeCuGePb2

Crystalline BeCuGePb2 at its relaxed geometry (GGA-PBEsol, the Alexandria database).

The value obtained for the magnetization is 0.00 μB per formula unit. As for the density of states at the Fermi level: 0.586 states/eV/atom. The total energy comes out at -3.313 eV per atom. The crystal system is tetragonal.

It has space group P4/mmm (No. 123), with a = 5.511 Å, b = 5.511 Å, c = 4.356 Å, α = 90.00°, β = 90.00° and γ = 90.00°. The distinct sites, in fractional coordinates, are Be at (0.000, 0.000, 0.000), Cu at (0.500, 0.500, 0.000), Ge at (0.500, 0.500, 0.500) and Pb at (0.000, 0.500, 0.500).